Record 1
Density functional theory data (PBE-GGA) for crystalline BaTl2Cd3 at its relaxed geometry.

Structure (POSCAR):
```
BaTl2Cd3
1.0
9.4914 -2.5330 0.0000
9.4914 2.5330 0.0000
-2.6457 0.0000 7.3354
Ba Tl Cd
2 4 6
Cartesian
1.7811 0.0000 1.2487 Ba
14.5561 0.0000 6.0867 Ba
2.7749 0.0000 4.8768 Tl
8.6129 0.0000 1.5014 Tl
7.7243 0.0000 5.8341 Tl
13.5622 0.0000 2.4586 Tl
-0.3759 0.0000 4.8160 Cd
5.4854 0.0000 0.5704 Cd
5.7085 0.0000 3.5145 Cd
10.6287 0.0000 3.8209 Cd
10.8517 0.0000 6.7650 Cd
16.7131 0.0000 2.5194 Cd
```

Output
**Space group**: C2/m (12)
**Calculated density**: 8.317 g/cm3
**ΔE_f**: -0.21 eV per atom

Record 2
Density functional theory data (PBE-GGA) for crystalline BaTlCd4 at its relaxed geometry.

Structure (POSCAR):
```
BaTlCd4
1.0
0.0000 4.4239 4.4239
4.4239 0.0000 4.4239
4.4239 4.4239 0.0000
Ba Tl Cd
1 1 4
Cartesian
0.0000 0.0000 0.0000 Ba
2.2120 2.2120 2.2120 Tl
5.5258 3.3220 3.3220 Cd
3.3220 5.5258 3.3220 Cd
3.3220 3.3220 5.5258 Cd
5.5258 5.5258 5.5258 Cd
```

Output
**Space group**: F-43m (216)
**Calculated density**: 7.589 g/cm3
**ΔE_f**: -0.20 eV per atom
**ΔE to the lowest computed polymorph**: 0.000 eV/atom

Record 3
Density functional theory data (PBE-GGA) for crystalline Ba3Tl4Cd4 at its relaxed geometry.

Structure (POSCAR):
```
Ba3Tl4Cd4
1.0
-2.6041 4.0516 8.6026
2.6041 -4.0516 8.6026
2.6041 4.0516 -8.6026
Ba Tl Cd
3 4 4
Cartesian
0.0000 0.0000 0.0000 Ba
2.6041 0.0000 6.2730 Ba
0.0000 4.0516 2.3297 Ba
0.0000 0.0000 3.7787 Tl
2.6041 2.5572 0.0000 Tl
0.0000 1.4944 8.6026 Tl
0.0000 0.0000 13.4265 Tl
2.6041 1.5037 -2.8175 Cd
2.6041 1.5037 2.8175 Cd
0.0000 2.5478 5.7851 Cd
0.0000 2.5478 11.4201 Cd
```

Output
**Space group**: Immm (71)
**Calculated density**: 7.680 g/cm3
**ΔE_f**: -0.29 eV per atom
**ΔE to the lowest computed polymorph**: 0.010 eV/atom

Record 4
Density functional theory data (PBE-GGA) for crystalline Ba2Tl3Cd6 at its relaxed geometry.

Structure (POSCAR):
```
Ba2Tl3Cd6
1.0
8.9520 0.0000 0.0000
-4.4760 7.7526 0.0000
0.0000 0.0000 4.8179
Ba Tl Cd
2 3 6
Cartesian
0.0000 5.1684 0.0000 Ba
4.4760 2.5842 0.0000 Ba
-1.7473 3.0264 2.4090 Tl
3.4946 0.0000 2.4090 Tl
2.7287 4.7263 2.4090 Tl
-0.8512 1.4743 0.0000 Cd
-3.2647 5.6547 2.4090 Cd
1.7023 0.0000 0.0000 Cd
1.2112 2.0979 2.4090 Cd
6.5295 0.0000 2.4090 Cd
3.6248 6.2784 0.0000 Cd
```

Output
**Space group**: P-62m (189)
**Calculated density**: 7.758 g/cm3
**ΔE_f**: -0.21 eV per atom
**ΔE to the lowest computed polymorph**: 0.000 eV/atom